Record 1
Entry from Alexandria: AlPdNO2 after structural relaxation (PBE-GGA).

Lattice parameters (Å, degrees): 4.0192 4.0192 3.7822 90.00 90.00 90.00
Closest atoms and distances in Å follow each position.
Sites, in units of the cell vectors:
Al1 0.5000 0.5000 0.5000  8 O 2.76, 4 N 2.84
Pd1 0.0000 0.0000 0.0000  2 N 1.89, 4 O 2.01
O1 0.5000 0.0000 0.0000  2 Pd 2.01
O2 0.0000 0.5000 0.0000  2 Pd 2.01
N1 0.0000 0.0000 0.5000  2 Pd 1.89

Values from the calculation:
Its crystal system is tetragonal. The value obtained for the formation energy without anion corrections is 10.8 kcal/mol of atoms. The value obtained for the total magnetic moment is 0.0 μB per cell. The space group is No. 123. Its density of states at the Fermi level is 0.452 states/eV/atom.

***

Record 2
Entry from Alexandria: AlPdNO2 after structural relaxation (PBE-GGA).

Lattice parameters (Å, degrees): 3.6361 3.6361 3.9107 90.00 90.00 90.00
Closest atoms and distances in Å follow each position.
Sites, in units of the cell vectors:
N1 0.0000 0.0000 0.5000  2 Al 1.96
Pd1 0.5000 0.5000 0.5000  4 N 2.57, 8 O 2.67
O1 0.0000 0.5000 0.0000  2 Al 1.82
O2 0.5000 0.0000 0.0000  2 Al 1.82
Al1 0.0000 0.0000 0.0000  4 O 1.82, 2 N 1.96

Values from the calculation:
Its crystal system is tetragonal. The value obtained for the formation energy without anion corrections is -8.0 kcal/mol of atoms. The value obtained for the total magnetic moment is 1.6 μB per cell. The space group is No. 123. Its density of states at the Fermi level is 0.671 states/eV/atom.

***

Record 3
Entry from Alexandria: Pr2AlNO3 after structural relaxation (PBE-GGA).

Lattice parameters (Å, degrees): 6.8837 6.8837 6.8837 148.33 148.33 45.40
Closest atoms and distances in Å follow each position.
Sites, in units of the cell vectors:
O1 0.3298 0.3298 0.0000  1 Al 2.19, 1 Pr 2.41
O2 0.1701 0.6701 0.5000  2 Al 1.89
O3 0.6701 0.1701 0.5000  2 Al 1.89
Pr1 0.8084 0.8084 0.0000  1 N 2.40, 8 O 2.57-2.67
Pr2 0.5199 0.5199 0.0000  5 O 2.41-2.68, 4 N 2.67
Al1 0.1570 0.1570 0.0000  4 O 1.89, 1 N 2.03
N1 0.9975 0.9975 0.0000  1 Al 2.03

Values from the calculation:
Its crystal system is tetragonal. The value obtained for the formation energy without anion corrections is -62.3 kcal/mol of atoms. The value obtained for the total magnetic moment is 0.0 μB per cell. The space group is No. 107.

***

Record 4
Entry from Alexandria: AlPtN2O after structural relaxation (PBE-GGA).

Lattice parameters (Å, degrees): 3.8155 3.8155 3.5636 90.00 90.00 90.00
Closest atoms and distances in Å follow each position.
Sites, in units of the cell vectors:
N1 0.0000 0.5000 0.0000  2 Al 1.91
N2 0.5000 0.0000 0.0000  2 Al 1.91
Pt1 0.5000 0.5000 0.5000  8 N 2.61, 4 O 2.70
Al1 0.0000 0.0000 0.0000  2 O 1.78, 4 N 1.91
O1 0.0000 0.0000 0.5000  2 Al 1.78

Values from the calculation:
Its crystal system is tetragonal. The value obtained for the formation energy without anion corrections is 12.7 kcal/mol of atoms. The value obtained for the total magnetic moment is 0.0 μB per cell. The space group is No. 123. Its density of states at the Fermi level is 0.659 states/eV/atom.

***

Record 5
Entry from Alexandria: AlPtN2O after structural relaxation (PBE-GGA).

Lattice parameters (Å, degrees): 3.8614 3.8614 4.1719 90.00 90.00 90.00
Closest atoms and distances in Å follow each position.
Sites, in units of the cell vectors:
N1 0.5000 0.0000 0.0000  2 Pt 1.93
N2 0.0000 0.5000 0.0000  2 Pt 1.93
O1 0.0000 0.0000 0.5000  2 Pt 2.09
Pt1 0.0000 0.0000 0.0000  4 N 1.93, 2 O 2.09
Al1 0.5000 0.5000 0.5000  4 O 2.73, 8 N 2.84

Values from the calculation:
Its crystal system is tetragonal. The value obtained for the formation energy without anion corrections is 23.4 kcal/mol of atoms. The value obtained for the total magnetic moment is 0.0 μB per cell. The space group is No. 123. Its density of states at the Fermi level is 0.772 states/eV/atom.

***

Record 6
Entry from Alexandria: RbAlNO2 after structural relaxation (PBE-GGA).

Lattice parameters (Å, degrees): 4.5596 3.4460 4.5596 90.00 90.00 90.00
Closest atoms and distances in Å follow each position.
Sites, in units of the cell vectors:
O1 0.0000 0.0000 0.5000  2 N 2.28
O2 0.5000 0.0000 0.0000  2 N 2.28
Rb1 0.5000 0.5000 0.5000  8 O 2.86
Al1 0.0000 0.5000 0.0000  2 N 1.72
N1 0.0000 0.0000 0.0000  2 Al 1.72

Values from the calculation:
Its crystal system is tetragonal. The value obtained for the formation energy without anion corrections is 4.0 kcal/mol of atoms. The value obtained for the total magnetic moment is 0.0 μB per cell. The space group is No. 123. Its density of states at the Fermi level is 0.535 states/eV/atom.

***

Record 7
Entry from Alexandria: RbAlNO2 after structural relaxation (PBE-GGA).

Lattice parameters (Å, degrees): 3.8965 3.8965 4.2416 90.00 90.00 90.00
Closest atoms and distances in Å follow each position.
Sites, in units of the cell vectors:
N1 0.0000 0.0000 0.5000  2 Al 2.12
O1 0.5000 0.0000 0.0000  2 Al 1.95
O2 0.0000 0.5000 0.0000  2 Al 1.95
Al1 0.0000 0.0000 0.0000  4 O 1.95, 2 N 2.12
Rb1 0.5000 0.5000 0.5000  4 N 2.76, 8 O 2.88

Values from the calculation:
Its crystal system is tetragonal. The value obtained for the formation energy without anion corrections is -16.9 kcal/mol of atoms. The value obtained for the total magnetic moment is 3.0 μB per cell. The space group is No. 123. Its density of states at the Fermi level is 0.334 states/eV/atom.

***

Record 8
Entry from Alexandria: RbAlNO2 after structural relaxation (PBE-GGA).

Lattice parameters (Å, degrees): 4.2212 4.2212 4.6267 90.00 90.00 90.00
Closest atoms and distances in Å follow each position.
Sites, in units of the cell vectors:
Rb1 0.0000 0.0000 0.0000  4 O 2.11, 2 N 2.31
Al1 0.5000 0.5000 0.5000  4 N 2.98, 8 O 3.13
N1 0.0000 0.0000 0.5000  2 Rb 2.31
O1 0.0000 0.5000 0.0000  2 Rb 2.11
O2 0.5000 0.0000 0.0000  2 Rb 2.11

Values from the calculation:
Its crystal system is tetragonal. The value obtained for the formation energy without anion corrections is 39.5 kcal/mol of atoms. The value obtained for the total magnetic moment is 0.1 μB per cell. The space group is No. 123. Its density of states at the Fermi level is 0.894 states/eV/atom.

***

Record 9
Entry from Alexandria: AlRhN2O after structural relaxation (PBE-GGA).

Lattice parameters (Å, degrees): 3.8022 3.8022 4.1241 90.00 90.00 90.00
Closest atoms and distances in Å follow each position.
Sites, in units of the cell vectors:
O1 0.0000 0.0000 0.5000  2 Rh 2.06
Rh1 0.0000 0.0000 0.0000  4 N 1.90, 2 O 2.06
N1 0.5000 0.0000 0.0000  2 Rh 1.90
N2 0.0000 0.5000 0.0000  2 Rh 1.90
Al1 0.5000 0.5000 0.5000  4 O 2.69, 8 N 2.80

Values from the calculation:
Its crystal system is tetragonal. The value obtained for the formation energy without anion corrections is 18.2 kcal/mol of atoms. The value obtained for the total magnetic moment is 0.4 μB per cell. The space group is No. 123. Its density of states at the Fermi level is 0.616 states/eV/atom.

***

Record 10
Entry from Alexandria: AlRhN2O after structural relaxation (PBE-GGA).

Lattice parameters (Å, degrees): 3.7380 3.7380 3.6178 90.00 90.00 90.00
Closest atoms and distances in Å follow each position.
Sites, in units of the cell vectors:
Al1 0.0000 0.0000 0.0000  2 O 1.81, 4 N 1.87
Rh1 0.5000 0.5000 0.5000  8 N 2.60, 4 O 2.64
N1 0.0000 0.5000 0.0000  2 Al 1.87
N2 0.5000 0.0000 0.0000  2 Al 1.87
O1 0.0000 0.0000 0.5000  2 Al 1.81

Values from the calculation:
Its crystal system is tetragonal. The value obtained for the formation energy without anion corrections is 9.7 kcal/mol of atoms. The value obtained for the total magnetic moment is 0.0 μB per cell. The space group is No. 123. Its density of states at the Fermi level is 0.632 states/eV/atom.

***

Record 11
Entry from Alexandria: AlRuN2O after structural relaxation (PBE-GGA).

Lattice parameters (Å, degrees): 3.7601 3.7601 3.5653 90.00 90.00 90.00
Closest atoms and distances in Å follow each position.
Sites, in units of the cell vectors:
N1 0.5000 0.0000 0.0000  2 Al 1.88
N2 0.0000 0.5000 0.0000  2 Al 1.88
Ru1 0.5000 0.5000 0.5000  8 N 2.59, 4 O 2.66
O1 0.0000 0.0000 0.5000  2 Al 1.78
Al1 0.0000 0.0000 0.0000  2 O 1.78, 4 N 1.88

Values from the calculation:
Its crystal system is tetragonal. The value obtained for the formation energy without anion corrections is 10.5 kcal/mol of atoms. The value obtained for the total magnetic moment is 1.6 μB per cell. The space group is No. 123. Its density of states at the Fermi level is 0.684 states/eV/atom.

***

Record 12
Entry from Alexandria: AlRuN2O after structural relaxation (PBE-GGA).

Lattice parameters (Å, degrees): 3.9887 3.2836 3.9887 90.00 90.00 90.00
Closest atoms and distances in Å follow each position.
Sites, in units of the cell vectors:
Al1 0.0000 0.5000 0.0000  2 O 1.64
N1 0.0000 0.0000 0.5000  2 O 1.99
N2 0.5000 0.0000 0.0000  2 O 1.99
Ru1 0.5000 0.5000 0.5000  8 N 2.58, 4 Al 2.82
O1 0.0000 0.0000 0.0000  2 Al 1.64

Values from the calculation:
Its crystal system is tetragonal. The value obtained for the formation energy without anion corrections is 29.4 kcal/mol of atoms. The value obtained for the total magnetic moment is 0.0 μB per cell. The space group is No. 123. Its density of states at the Fermi level is 0.699 states/eV/atom.